Computed, not measured: a geometry-optimized ZnFeNiPt structure at the GGA-PBE level of DFT.

As for the formation energy: -145 meV per atom. The value obtained for the energy above the lowest structure with this stoichiometry is 0.0716 eV/atom.

It has space group F-43m (No. 216), with a = 5.936 Å, b = 5.936 Å, c = 5.936 Å, α = 90.00°, β = 90.00° and γ = 90.00°. The inequivalent atoms are Zn at (0.000, 0.000, 0.000), Fe at (0.250, 0.250, 0.250), Ni at (0.000, 0.000, 0.500) and Pt at (0.250, 0.250, 0.750).

=====

Computed, not measured: a geometry-optimized HfTlHg3O4 structure at the GGA-PBE level of DFT.

For the total energy, the calculation gives -4.602 eV/atom.

It has space group P-43m (No. 215), with a = 5.983 Å, b = 5.983 Å, c = 5.983 Å, α = 90.00°, β = 90.00° and γ = 90.00°. The inequivalent atoms are Hf at (0.000, 0.000, 0.000), Tl at (0.500, 0.500, 0.500), Hg at (0.000, 0.000, 0.500) and O at (0.193, 0.193, 0.807).

=====

Computed, not measured: a geometry-optimized Ta11Ni2Se8 structure at the GGA-PBE level of DFT.

For the total energy, the calculation gives -8.630 eV/atom.

It has space group Pnnm (No. 58), with a = 12.068 Å, b = 19.632 Å, c = 3.432 Å, α = 90.00°, β = 90.00° and γ = 90.00°. The inequivalent atoms are Ta at (0.000, 0.000, 0.000), Ta at (0.050, 0.242, 0.000), Ta at (0.062, 0.115, 0.500), Ta at (0.158, 0.787, 0.500), Ta at (0.173, 0.355, 0.500), Ta at (0.181, 0.949, 0.500), Ni at (0.093, 0.871, 0.000), Se at (0.044, 0.674, 0.500), Se at (0.107, 0.447, 0.000), Se at (0.208, 0.055, 0.000) and Se at (0.214, 0.214, 0.500).

=====

Computed, not measured: a geometry-optimized La2Zr3Hg2 structure at the GGA-PBE level of DFT.

As for the formation energy: -133 meV per atom.

It has space group R3m (No. 160, hexagonal axes), with a = 5.2510 Å, b = 5.2510 Å, c = 23.4721 Å, α = 90.00°, β = 90.00° and γ = 120.00°. The inequivalent atoms are La at (0.0000, 0.0000, 0.0000), La at (0.0000, 0.0000, 0.4413), Zr at (0.0000, 0.0000, 0.2621), Zr at (0.0000, 0.0000, 0.5873), Zr at (0.0000, 0.0000, 0.8638), Hg at (0.0000, 0.0000, 0.1408) and Hg at (0.0000, 0.0000, 0.7212).

=====

Computed, not measured: a geometry-optimized PrSi2NiAg structure at the GGA-PBE level of DFT.

For the total energy, the calculation gives -5.350 eV/atom.

It has space group I-4m2 (No. 119), with a = 4.181 Å, b = 4.181 Å, c = 10.125 Å, α = 90.00°, β = 90.00° and γ = 90.00°. The inequivalent atoms are Pr at (0.000, 0.000, 0.000), Si at (0.000, 0.000, 0.382), Ni at (0.000, 0.500, 0.250) and Ag at (0.000, 0.500, 0.750).

=====

Computed, not measured: a geometry-optimized PmNbPO structure at the GGA-PBE level of DFT.

The value obtained for the energy above the lowest structure with this stoichiometry is 1.1785 eV/atom.

It has space group P4/nmm (No. 129, origin choice 2), with a = 4.178 Å, b = 4.178 Å, c = 7.735 Å, α = 90.00°, β = 90.00° and γ = 90.00°. The inequivalent atoms are Pm at (0.250, 0.750, 0.000), Nb at (0.250, 0.250, 0.404), P at (0.250, 0.250, 0.744) and O at (0.250, 0.750, 0.500).

=====

Computed, not measured: a geometry-optimized DyErCF2 structure at the GGA-PBE level of DFT.

For the total energy, the calculation gives -6.860 eV/atom.

It has space group P3m1 (No. 156), with a = 3.6056 Å, b = 3.6056 Å, c = 6.3011 Å, α = 90.00°, β = 90.00° and γ = 120.00°. The inequivalent atoms are Dy at (0.0000, 0.0000, 0.0000), Er at (0.3333, 0.6667, 0.5764), C at (0.6667, 0.3333, 0.7874), F at (0.0000, 0.0000, 0.4079) and F at (0.3333, 0.6667, 0.1784).

=====

Computed, not measured: a geometry-optimized KHfBeAu structure at the GGA-PBE level of DFT.

The value obtained for the energy above the lowest structure with this stoichiometry is 0.0000 eV/atom.

It has space group F-43m (No. 216), with a = 6.667 Å, b = 6.667 Å, c = 6.667 Å, α = 90.00°, β = 90.00° and γ = 90.00°. The inequivalent atoms are K at (0.000, 0.000, 0.000), Hf at (0.250, 0.250, 0.750), Be at (0.250, 0.250, 0.250) and Au at (0.000, 0.000, 0.500).

=====

Computed, not measured: a geometry-optimized TmZn structure at the GGA-PBE level of DFT.

As for the formation energy: -210 meV per atom.

It has space group Pmc2_1 (No. 26), with a = 4.398 Å, b = 10.824 Å, c = 5.681 Å, α = 90.00°, β = 90.00° and γ = 90.00°. The inequivalent atoms are Tm at (0.000, 0.091, 0.000), Tm at (0.000, 0.398, 0.777), Tm at (0.500, 0.157, 0.518), Zn at (0.000, 0.312, 0.297), Zn at (0.500, 0.289, 0.031) and Zn at (0.500, 0.438, 0.417).

=====

Computed, not measured: a geometry-optimized TbSm2Se3 structure at the GGA-PBE level of DFT.

For the total energy, the calculation gives -5.890 eV/atom.

It has space group P-3m1 (No. 164), with a = 4.1326 Å, b = 4.1326 Å, c = 10.1694 Å, α = 90.00°, β = 90.00° and γ = 120.00°. The inequivalent atoms are Tb at (0.0000, 0.0000, 0.0000), Sm at (0.3333, 0.6667, 0.6681), Se at (0.0000, 0.0000, 0.5000) and Se at (0.3333, 0.6667, 0.1609).

=====

Computed, not measured: a geometry-optimized Li5Co3P3 structure at the GGA-PBE level of DFT.

For the total energy, the calculation gives -4.290 eV/atom.

It has space group P-62m (No. 189), with a = 7.4377 Å, b = 7.4377 Å, c = 4.0883 Å, α = 90.00°, β = 90.00° and γ = 120.00°. The inequivalent atoms are Li at (0.0000, 0.7166, 0.0000), Li at (0.3333, 0.6667, 0.0000), Co at (0.0000, 0.3972, 0.5000) and P at (0.0000, 0.3639, 0.0000).

=====

Computed, not measured: a geometry-optimized HgN structure at the GGA-PBE level of DFT.

The value obtained for the energy above the lowest structure with this stoichiometry is 0.0560 eV/atom.

It has space group R-3m (No. 166, hexagonal axes), with a = 3.3973 Å, b = 3.3973 Å, c = 8.4402 Å, α = 90.00°, β = 90.00° and γ = 120.00°. The inequivalent atoms are Hg at (0.0000, 0.0000, 0.0000) and N at (0.0000, 0.0000, 0.5000).

=====

Question: What is the formula in the ninth record?
Answer: TmZn